! SrNiTe2 (GGA-PBE, relaxed); values from VASP
&SYSTEM
  ibrav = 0, nat = 8, ntyp = 3
/
ATOMIC_SPECIES
Sr 87.62 Sr.upf
Ni 58.69 Ni.upf
Te 127.60 Te.upf
ATOMIC_POSITIONS crystal
Sr 0.0000 0.0000 0.0000
Sr 0.7500 0.2500 0.5000
Ni 0.2500 0.7500 0.5000
Ni 0.5000 0.5000 0.0000
Te 0.2135 0.6250 0.0885
Te 0.3750 0.4635 0.5885
Te 0.5365 0.1250 0.9115
Te 0.8750 0.7865 0.4115
CELL_PARAMETERS angstrom
-3.9558 3.9558 3.5040
3.9558 -3.9558 3.5040
3.9558 3.9558 -3.5040
! Crystal system: tetragonal
! Final energy in eV per atom: -4.221
! Total moment in Bohr magnetons per cell: 0.00